Below is an optimized crystal structure of Tl2VAs, with properties calculated at the PBE-GGA level.

## Properties
For the calculated volume, the calculation gives 23.33 Å³/atom. For the energy above the lowest structure with this stoichiometry, the calculation gives 3.8 kJ/mol of atoms. The value obtained for the formation energy is 0.5688 eV/atom. As for the space-group type: Fm-3m (225). The value obtained for the size of the total moment is 3.7 μB/f.u. Its total energy is -4.056 eV per atom.

Cell and atoms, written as extended XYZ:
```
4
Lattice="0.000 3.600 3.600 3.600 0.000 3.600 3.600 3.600 0.000" Properties=species:S:1:pos:R:3 pbc="T T T"
Tl 1.800 1.800 1.800
Tl 5.401 5.401 5.401
As 3.600 3.600 3.600
V 0.000 0.000 0.000
```